Compound: Tb3ThAs4
Source: Alexandria
Functional: GGA-PBE
Structure: optimized geometry

Calculated values
Magnetization   0.00 μB/f.u.
Crystal system   cubic
DFT formation energy   -1.507 eV/atom
Energy   -51.96 eV/cell

a b c (Å): 5.906 5.906 5.906
angles (deg): 90.00 90.00 90.00
Space group Pm-3m (No. 221)
Unique sites:
Tb1 0.000 0.000 0.500 [3 per cell]
Th1 0.500 0.500 0.500 [1 per cell]
As1 0.000 0.000 0.000 [1 per cell]
As2 0.000 0.500 0.500 [3 per cell]